Cs2Cu2Sb2Se5 PBE relaxed; final energy = -0.137 Ha/atom; crystal system = triclinic
1.0
7.6962 -0.0137 0.0265
-2.0083 8.7048 0.0089
-0.3368 -0.4367 10.4478
Cs Cu Sb Se
4 4 4 10
Direct
0.2703 0.1963 0.0985
0.7294 0.9459 0.3815
0.2706 0.0541 0.6185
0.7297 0.8037 0.9015
0.4051 0.5076 0.3891
0.1238 0.6297 0.4282
0.8762 0.3703 0.5718
0.5949 0.4924 0.6109
0.1976 0.6412 0.1236
0.8181 0.4237 0.2611
0.1819 0.5763 0.7389
0.8024 0.3588 0.8764
0.7505 0.1876 0.0845
0.5162 0.6148 0.1870
0.1459 0.8435 0.2869
0.0830 0.3431 0.3884
0.5748 0.3030 0.4243
0.4252 0.6970 0.5757
0.9170 0.6569 0.6116
0.8541 0.1565 0.7131
0.4838 0.3852 0.8130
0.2495 0.8124 0.9155

=====

CoSnHgSe3 PBE relaxed; final energy = -0.137 Ha/atom; crystal system = orthorhombic; ΔE to the lowest computed polymorph = 151 meV per atom
1.0
6.9918 -1.9193 0.0000
6.9918 1.9193 0.0000
0.0000 0.0000 11.0659
Co Hg Se Sn
2 2 6 2
Direct
0.4527 0.4527 0.2500
0.5473 0.5473 0.7500
0.0000 0.0000 0.0000
0.0000 0.0000 0.5000
0.3435 0.3435 0.0888
0.0530 0.0530 0.2500
0.3435 0.3435 0.4112
0.6565 0.6565 0.5888
0.9470 0.9470 0.7500
0.6565 0.6565 0.9112
0.7572 0.7572 0.2500
0.2428 0.2428 0.7500

=====

Dy2YTm2Lu2Ni2Te2 PBE relaxed; final energy = -0.196 Ha/atom; crystal system = orthorhombic; ΔE to the lowest computed polymorph = 5 meV per atom
1.0
-1.9173 7.7197 4.7308
1.9173 -7.7197 4.7308
1.9173 7.7197 -4.7308
Dy Lu Ni Te Tm Y
2 2 2 2 2 1
Direct
0.0975 0.7457 0.3518
0.3940 0.7457 0.6482
0.0280 0.8941 0.1339
0.7602 0.8941 0.8661
0.6457 0.4058 0.2398
0.1660 0.4058 0.7602
0.1377 0.1377 0.0000
0.7441 0.2441 0.5000
0.4124 0.0977 0.3147
0.7830 0.0977 0.6853
0.4774 0.4774 0.0000

=====

HfAgB4 PBE relaxed; final energy = -0.248 Ha/atom; crystal system = orthorhombic; ΔE to the lowest computed polymorph = 5 meV per atom
1.0
-1.5570 2.6432 3.7454
1.5570 -2.6432 3.7454
1.5570 2.6432 -3.7454
Ag B Hf
1 4 1
Direct
0.0000 0.0000 0.0000
0.5548 0.2350 0.3198
0.0848 0.7650 0.3198
0.9152 0.2350 0.6802
0.4452 0.7650 0.6802
0.5000 0.5000 0.0000

=====

Gd2Lu3Al3 PBE relaxed; final energy = -0.161 Ha/atom; crystal system = orthorhombic; ΔE to the lowest computed polymorph = 116 meV per atom
1.0
5.3398 0.0000 0.0000
0.0000 3.5692 5.3531
0.0000 -3.5692 5.3531
Al Gd Lu
3 2 3
Direct
0.5000 0.6103 0.2357
0.5000 0.2357 0.6103
0.0000 0.8493 0.8493
0.0000 0.3209 0.3209
0.5000 0.7069 0.7069
0.5000 0.1268 0.1268
0.0000 0.8147 0.3355
0.0000 0.3355 0.8147

=====

NaPdO3 PBE relaxed; final energy = -0.175 Ha/atom; crystal system = trigonal
1.0
0.3928 3.0300 -4.3257
4.3538 2.9583 -0.5827
3.4920 -1.4125 -3.7226
Na O Pd
2 6 2
Direct
0.2500 0.2500 0.2500
0.7500 0.7500 0.7500
0.7500 0.3561 0.1439
0.6439 0.8561 0.2500
0.1439 0.7500 0.3561
0.8561 0.2500 0.6439
0.3561 0.1439 0.7500
0.2500 0.6439 0.8561
0.0000 0.0000 0.0000
0.5000 0.5000 0.5000